Entry 1:
## TiNbV3 (PBE)

Data for crystalline TiNbV3 at its relaxed geometry.

Raw total energy in eV per atom: -8.785
Relative energy among the computed polymorphs in eV/atom: 0.0000
Formation energy from the elements in eV per atom: 0.28
Total magnetic moment in μB per cell: 0.0

Structure (POSCAR):
```
TiNbV3
1.0
5.260 0.000 0.000
0.000 4.945 0.000
-2.630 0.000 6.227
Nb V Ti
2 6 2
Cartesian
0.000 1.236 2.396
2.630 3.708 3.831
1.295 1.236 4.512
0.000 2.472 0.000
-1.295 1.236 4.512
0.000 0.000 0.000
3.924 3.708 1.716
1.335 3.708 1.716
0.000 3.708 5.352
2.630 1.236 0.875
```

Entry 2:
## Ti3NbV (PBE)

Data for crystalline Ti3NbV at its relaxed geometry.

Raw total energy in eV per atom: -7.670
Relative energy among the computed polymorphs in eV/atom: 0.7190
Formation energy from the elements in eV per atom: 0.90
Total magnetic moment in μB per cell: 0.0

Structure (POSCAR):
```
Ti3NbV
1.0
-3.693 -1.799 -2.511
-1.951 -1.677 4.070
-1.561 9.311 0.241
Ti V Nb
6 2 2
Cartesian
-5.176 4.373 2.169
-4.618 1.366 1.197
-1.594 1.493 1.274
-2.587 4.469 0.602
-2.570 0.654 3.311
-3.328 5.273 3.426
-3.167 2.948 2.545
0.000 0.000 0.000
-5.838 5.997 -0.327
-2.238 -0.223 -1.165
```

Entry 3:
## TiNbV (PBE)

Data for crystalline TiNbV at its relaxed geometry.

Raw total energy in eV per atom: -8.968
Relative energy among the computed polymorphs in eV/atom: 0.0158
Formation energy from the elements in eV per atom: 0.06
Total magnetic moment in μB per cell: 0.0

Structure (POSCAR):
```
TiNbV
1.0
-2.413 -0.752 1.219
1.085 -4.323 -0.520
1.205 2.183 3.731
Nb V Ti
1 1 1
Cartesian
-2.325 -0.725 1.175
-0.580 -2.686 1.759
0.370 -0.234 2.716
```

Entry 4:
## TiNbV (PBE)

Data for crystalline TiNbV at its relaxed geometry.

Raw total energy in eV per atom: -8.984
Relative energy among the computed polymorphs in eV/atom: 0.0000
Formation energy from the elements in eV per atom: 0.04
Total magnetic moment in μB per cell: 0.0

Structure (POSCAR):
```
TiNbV
1.0
-2.673 0.627 1.657
-0.605 -3.142 0.212
4.954 -0.403 8.144
V Ti Nb
2 2 2
Cartesian
3.340 -0.793 7.070
1.109 -2.002 7.033
1.891 -0.666 4.666
2.579 -2.113 9.425
-0.626 -1.849 4.147
0.151 -0.521 1.795
```